A plane-wave DFT calculation with PBE with a Hubbard U was carried out for crystalline NiPtO3 at its relaxed geometry.

POSCAR file:
```
NiPtO3
1.0
3.711 0.000 0.000
0.000 3.711 0.000
0.000 0.000 3.711
Ni Pt O
1 1 3
Cartesian
0.000 0.000 0.000 Ni
1.855 1.855 1.855 Pt
0.000 0.000 1.855 O
0.000 1.855 0.000 O
1.855 0.000 0.000 O
```

Properties
- DFT total energy: -4.31 eV per atom
- Space-group type: Pm-3m (221)